Model a:
Nd2Ga5Pt3: relaxed, PBE-GGA.

abc: 4.4153 6.8830 12.7898
angles: 90.00 99.94 90.00
Fractional coordinates of all 20 atoms:
Pt  0.6069  0.5174  0.2137
Pt  0.2250  0.2185  0.4500
Pt  0.9471  0.4659  0.8943
Pt  0.0529  0.9659  0.1057
Pt  0.3931  0.0174  0.7863
Pt  0.7750  0.7185  0.5500
Ga  0.0522  0.5744  0.1044
Ga  0.1234  0.2571  0.2469
Ga  0.2937  0.9219  0.5873
Ga  0.6038  0.9095  0.2076
Ga  0.7063  0.4219  0.4127
Ga  0.8766  0.7571  0.7531
Ga  0.9478  0.0744  0.8956
Ga  0.3962  0.4095  0.7924
Ga  0.2918  0.5192  0.5836
Ga  0.7082  0.0192  0.4164
Nd  0.5172  0.2518  0.0344
Nd  0.4828  0.7518  0.9656
Nd  0.1752  0.7290  0.3504
Nd  0.8248  0.2290  0.6496

Space group   Cmc2_1 (36)
DOS at the Fermi energy   10.408 states/eV/cell

***

Model b:
Nd2Ga5Pt3: relaxed, PBE-GGA.

abc: 5.8856 8.6917 8.6917
angles: 73.45 70.21 70.21
Fractional coordinates of all 20 atoms:
Nd  0.8649  0.4084  0.8619
Nd  0.1351  0.5916  0.1381
Nd  0.6351  0.1381  0.5916
Nd  0.3649  0.8619  0.4084
Ga  0.9655  0.7845  0.7845
Ga  0.4655  0.7845  0.7845
Ga  0.1012  0.0597  0.7379
Ga  0.5345  0.2155  0.2155
Ga  0.2500  0.5000  0.5000
Ga  0.7500  0.5000  0.5000
Ga  0.8988  0.9403  0.2621
Ga  0.6012  0.7379  0.0597
Ga  0.3988  0.2621  0.9403
Ga  0.0345  0.2155  0.2155
Pt  0.7500  0.0000  0.0000
Pt  0.1422  0.2528  0.4629
Pt  0.2500  0.0000  0.0000
Pt  0.3578  0.5371  0.7472
Pt  0.8578  0.7472  0.5371
Pt  0.6422  0.4629  0.2528

Space group   Ibam (72)
DOS at the Fermi energy   10.278 states/eV/cell

***

Which of them is the most stable, and which is the least stable? model b and model a, in that order.

***

Model a:
Nd2Ga3Pt2: relaxed, PBE-GGA.

abc: 4.2206 7.3332 9.5931
angles: 90.00 102.71 90.00
Fractional coordinates of all 14 atoms:
Nd  0.8425  0.7500  0.6849
Nd  0.0646  0.7500  0.1291
Nd  0.1575  0.2500  0.3151
Nd  0.9354  0.2500  0.8709
Ga  0.5581  0.4226  0.1162
Ga  0.4419  0.5774  0.8838
Ga  0.5581  0.0774  0.1162
Ga  0.7722  0.2500  0.5444
Ga  0.2278  0.7500  0.4556
Ga  0.4419  0.9226  0.8838
Pt  0.3115  0.0519  0.6229
Pt  0.3115  0.4481  0.6229
Pt  0.6885  0.9481  0.3771
Pt  0.6885  0.5519  0.3771

Space group   Cmcm (63)
DOS at the Fermi energy   8.836 states/eV/cell

***

Model b:
Nd2Ga3Pt2: relaxed, PBE-GGA.

abc: 4.3710 5.6814 6.9043
angles: 113.13 90.00 112.62
Fractional coordinates of all 7 atoms:
Ga  0.3790  0.7580  0.5631
Ga  0.5000  0.0000  0.0000
Ga  0.6210  0.2420  0.4369
Pt  0.1394  0.2787  0.2196
Pt  0.8606  0.7213  0.7804
Nd  0.1481  0.2963  0.7734
Nd  0.8519  0.7037  0.2266

Space group   C2/m (12)
DOS at the Fermi energy   3.707 states/eV/cell

***

Which of them is the most stable, and which is the least stable? model b and model a, in that order.

***

Model a:
Nd3Ga4Pt2: relaxed, PBE-GGA.

abc: 4.4213 5.9475 8.7042
angles: 69.76 75.29 68.18
Fractional coordinates of all 9 atoms:
Nd  0.3214  0.7126  0.6446
Nd  0.6786  0.2874  0.3554
Nd  0.0000  0.0000  0.0000
Pt  0.3969  0.9360  0.2702
Pt  0.6031  0.0640  0.7298
Ga  0.0212  0.3157  0.6420
Ga  0.7443  0.5949  0.9164
Ga  0.9788  0.6843  0.3580
Ga  0.2557  0.4051  0.0836

Space group   C2/m (12)
DOS at the Fermi energy   3.844 states/eV/cell

***

Model b:
Nd3Ga4Pt2: relaxed, PBE-GGA.

abc: 4.4286 5.8442 8.8319
angles: 108.33 90.00 112.26
Fractional coordinates of all 9 atoms:
Nd  0.3667  0.7334  0.3134
Nd  0.0000  0.0000  0.0000
Nd  0.6333  0.2666  0.6866
Pt  0.6522  0.3044  0.3080
Pt  0.3478  0.6956  0.6920
Ga  0.1067  0.2134  0.4202
Ga  0.7258  0.4516  0.0638
Ga  0.8933  0.7866  0.5798
Ga  0.2742  0.5484  0.9362

Space group   C2/m (12)
DOS at the Fermi energy   6.930 states/eV/cell

***

Which of them is the most stable, and which is the least stable? model a and model b, in that order.

***

Model a:
NdSmGaPt: relaxed, PBE-GGA.

abc: 4.0482 4.3896 5.9397
angles: 90.00 109.92 90.00
Fractional coordinates of all 4 atoms:
Ga  0.5725  0.5000  0.1449
Pt  0.4217  0.0000  0.8435
Sm  0.8612  0.5000  0.7224
Nd  0.1446  0.0000  0.2892

Space group   Amm2 (38)
DOS at the Fermi energy   4.122 states/eV/cell

***

Model b:
NdSmGaPt: relaxed, PBE-GGA.

abc: 5.1514 5.1514 5.1514
angles: 60.00 60.00 60.00
Fractional coordinates of all 4 atoms:
Ga  0.2500  0.2500  0.2500
Pt  0.7500  0.7500  0.7500
Sm  0.5000  0.5000  0.5000
Nd  0.0000  0.0000  0.0000

Space group   F-43m (216)
DOS at the Fermi energy   3.280 states/eV/cell

***

Which of them is the most stable, and which is the least stable? model a and model b, in that order.

***

Model a:
TbNdGaPt: relaxed, PBE-GGA.

abc: 3.9266 4.3677 5.9771
angles: 90.00 109.18 90.00
Fractional coordinates of all 4 atoms:
Pt  0.4200  0.0000  0.8400
Tb  0.8621  0.5000  0.7241
Ga  0.5708  0.5000  0.1415
Nd  0.1472  0.0000  0.2943

Space group   Amm2 (38)
DOS at the Fermi energy   3.806 states/eV/cell

***

Model b:
TbNdGaPt: relaxed, PBE-GGA.

abc: 5.1079 5.1079 5.1079
angles: 60.00 60.00 60.00
Fractional coordinates of all 4 atoms:
Ga  0.2500  0.2500  0.2500
Nd  0.5000  0.5000  0.5000
Pt  0.7500  0.7500  0.7500
Tb  0.0000  0.0000  0.0000

Space group   F-43m (216)
DOS at the Fermi energy   3.045 states/eV/cell

***

Which of them is the most stable, and which is the least stable? model a and model b, in that order.

***

Model a:
NdPuGa2: relaxed, PBE-GGA.

abc: 3.3610 3.3610 8.3955
angles: 90.00 90.00 90.00
Last column: magnetic moment on the atom in μB.
Fractional coordinates of all 4 atoms:
Ga  0.0000  0.0000  0.7562  -0.01
Ga  0.0000  0.0000  0.2438  -0.01
Nd  0.5000  0.5000  0.5000  -0.04
Pu  0.5000  0.5000  0.0000  5.37

Space group   P4/mmm (123)
DOS at the Fermi energy   8.109 states/eV/cell

***

Model b:
NdPuGa2: relaxed, PBE-GGA.

abc: 5.1538 5.1538 5.1538
angles: 60.00 60.00 60.00
Last column: magnetic moment on the atom in μB.
Fractional coordinates of all 4 atoms:
Pu  0.0000  0.0000  0.0000  5.33
Ga  0.7500  0.7500  0.7500  -0.02
Ga  0.2500  0.2500  0.2500  -0.02
Nd  0.5000  0.5000  0.5000  0.09

Space group   Fm-3m (225)
DOS at the Fermi energy   8.412 states/eV/cell

***

Which of them is the most stable, and which is the least stable? model a and model b, in that order.

***

Model a:
Nd2PuGa6: relaxed, PBE-GGA.

abc: 4.2463 7.4104 7.4104
angles: 120.00 90.00 90.00
Last column: magnetic moment on the atom in μB.
Fractional coordinates of all 9 atoms:
Ga  0.5000  0.6675  0.6675  -0.01
Ga  0.5000  0.3325  0.0000  -0.01
Ga  0.5000  0.0000  0.3325  -0.01
Ga  0.5000  0.0000  0.6675  -0.01
Ga  0.5000  0.6675  0.0000  -0.01
Ga  0.5000  0.3325  0.3325  -0.01
Nd  0.0000  0.3333  0.6667  0.01
Nd  0.0000  0.6667  0.3333  0.01
Pu  0.0000  0.0000  0.0000  5.35

Space group   P6/mmm (191)
DOS at the Fermi energy   17.346 states/eV/cell

***

Model b:
Nd2PuGa6: relaxed, PBE-GGA.

abc: 4.4394 7.2256 7.9406
angles: 117.06 106.23 90.00
Last column: magnetic moment on the atom in μB.
Fractional coordinates of all 9 atoms:
Ga  0.3210  0.1320  0.6421  0.00
Ga  0.5000  0.8132  0.0000  -0.01
Ga  0.6790  0.4900  0.3579  0.00
Ga  0.6790  0.8680  0.3579  0.00
Ga  0.3210  0.5100  0.6421  0.00
Ga  0.5000  0.1868  0.0000  -0.01
Nd  0.8714  0.8714  0.7428  0.02
Nd  0.1286  0.1286  0.2572  0.02
Pu  0.0000  0.5000  0.0000  5.50

Space group   Immm (71)
DOS at the Fermi energy   16.247 states/eV/cell

***

Which of them is the most stable, and which is the least stable? model a and model b, in that order.

***

Model a:
NdPuGa4: relaxed, PBE-GGA.

abc: 5.5865 5.5865 5.5865
angles: 60.00 60.00 60.00
Last column: magnetic moment on the atom in μB.
Fractional coordinates of all 6 atoms:
Ga  0.6254  0.6254  0.1238  0.00
Ga  0.6254  0.1238  0.6254  0.00
Ga  0.6254  0.6254  0.6254  0.00
Ga  0.1238  0.6254  0.6254  0.00
Pu  0.0000  0.0000  0.0000  5.47
Nd  0.2500  0.2500  0.2500  0.10

Space group   F-43m (216)
DOS at the Fermi energy   15.211 states/eV/cell

***

Model b:
NdPuGa4: relaxed, PBE-GGA.

abc: 4.4308 5.8459 5.8459
angles: 80.98 67.73 67.73
Last column: magnetic moment on the atom in μB.
Fractional coordinates of all 6 atoms:
Ga  0.6670  0.5769  0.5892  0.00
Ga  0.3330  0.4231  0.4108  0.00
Ga  0.3331  0.9107  0.9232  0.00
Ga  0.6669  0.0893  0.0768  0.00
Nd  0.0000  0.0000  0.5000  0.01
Pu  0.0000  0.5000  0.0000  5.34

Space group   Immm (71)
DOS at the Fermi energy   11.365 states/eV/cell

***

Which of them is the most stable, and which is the least stable? model b and model a, in that order.

***

Model a:
NdGa3Rh3: relaxed, PBE-GGA.

abc: 7.8066 7.8066 7.8066
angles: 90.00 90.00 90.00
Fractional coordinates of all 28 atoms:
Rh  0.2095  0.2095  0.2095
Rh  0.2905  0.7905  0.7095
Rh  0.7905  0.7095  0.2905
Rh  0.6707  0.6707  0.6707
Rh  0.1707  0.8293  0.3293
Rh  0.7095  0.2905  0.7905
Rh  0.1160  0.3840  0.6160
Rh  0.3840  0.6160  0.1160
Rh  0.6160  0.1160  0.3840
Rh  0.3293  0.1707  0.8293
Rh  0.8293  0.3293  0.1707
Rh  0.8840  0.8840  0.8840
Nd  0.5616  0.9384  0.0616
Nd  0.9384  0.0616  0.5616
Nd  0.4384  0.4384  0.4384
Nd  0.0616  0.5616  0.9384
Ga  0.5818  0.9960  0.6932
Ga  0.3068  0.0818  0.5040
Ga  0.6932  0.5818  0.9960
Ga  0.9960  0.6932  0.5818
Ga  0.8068  0.4182  0.4960
Ga  0.0040  0.1932  0.9182
Ga  0.1932  0.9182  0.0040
Ga  0.0818  0.5040  0.3068
Ga  0.4960  0.8068  0.4182
Ga  0.4182  0.4960  0.8068
Ga  0.9182  0.0040  0.1932
Ga  0.5040  0.3068  0.0818

Space group   P2_13 (198)
DOS at the Fermi energy   16.082 states/eV/cell

***

Model b:
NdGa3Rh3: relaxed, PBE-GGA.

abc: 6.7092 6.7092 6.7092
angles: 90.00 90.00 90.00
Fractional coordinates of all 14 atoms:
Ga  0.2500  0.0000  0.5000
Ga  0.5000  0.2500  0.0000
Ga  0.5000  0.7500  0.0000
Ga  0.0000  0.5000  0.7500
Ga  0.7500  0.0000  0.5000
Ga  0.0000  0.5000  0.2500
Nd  0.0000  0.0000  0.0000
Nd  0.5000  0.5000  0.5000
Rh  0.7500  0.5000  0.0000
Rh  0.5000  0.0000  0.2500
Rh  0.2500  0.5000  0.0000
Rh  0.0000  0.2500  0.5000
Rh  0.5000  0.0000  0.7500
Rh  0.0000  0.7500  0.5000

Space group   Pm-3n (223)
DOS at the Fermi energy   8.898 states/eV/cell

***

Which of them is the most stable, and which is the least stable? model a and model b, in that order.

***

Model a:
Nd2Ga6Rh: relaxed, PBE-GGA.

abc: 5.6267 6.0235 6.0235
angles: 60.00 90.01 90.01
Fractional coordinates of all 9 atoms:
Rh  0.0000  0.0000  0.0000
Ga  0.3155  0.8250  0.8250
Ga  0.3156  0.3499  0.8251
Ga  0.6844  0.6501  0.1749
Ga  0.6844  0.1749  0.6501
Ga  0.6845  0.1750  0.1750
Ga  0.3156  0.8251  0.3499
Nd  0.1769  0.3334  0.3334
Nd  0.8231  0.6666  0.6666

Space group   P-3m1 (164)
DOS at the Fermi energy   6.535 states/eV/cell

***

Model b:
Nd2Ga6Rh: relaxed, PBE-GGA.

abc: 6.2934 6.2934 6.2934
angles: 60.00 60.00 60.00
Fractional coordinates of all 9 atoms:
Nd  0.2500  0.2500  0.2500
Nd  0.7500  0.7500  0.7500
Rh  0.0000  0.0000  0.0000
Ga  0.2831  0.7169  0.7169
Ga  0.2831  0.2831  0.7169
Ga  0.7169  0.2831  0.2831
Ga  0.7169  0.2831  0.7169
Ga  0.2831  0.7169  0.2831
Ga  0.7169  0.7169  0.2831

Space group   Fm-3m (225)
DOS at the Fermi energy   2.004 states/eV/cell

***

Which of them is the most stable, and which is the least stable? model b and model a, in that order.

***

Model a:
NdGa3Rh: relaxed, PBE-GGA.

abc: 4.3156 4.3156 5.3074
angles: 90.00 90.00 90.00
Fractional coordinates of all 5 atoms:
Ga  0.0000  0.0000  0.6377
Ga  0.5000  0.0000  0.3375
Ga  0.0000  0.5000  0.3375
Rh  0.0000  0.0000  0.0982
Nd  0.5000  0.5000  0.8528

Space group   P4mm (99)
DOS at the Fermi energy   1.674 states/eV/cell

***

Model b:
NdGa3Rh: relaxed, PBE-GGA.

abc: 4.7586 6.7311 6.6986
angles: 90.00 90.00 90.00
Fractional coordinates of all 10 atoms:
Rh  0.0000  0.0000  0.5000
Rh  0.0000  0.5000  0.0000
Ga  0.0000  0.2594  0.7406
Ga  0.0000  0.2406  0.2406
Ga  0.0000  0.7594  0.7594
Ga  0.0000  0.7406  0.2594
Ga  0.5000  0.0000  0.5000
Ga  0.5000  0.5000  0.0000
Nd  0.5000  0.5000  0.5000
Nd  0.5000  0.0000  0.0000

Space group   Pbam (55)
DOS at the Fermi energy   5.664 states/eV/cell

***

Which of them is the most stable, and which is the least stable? model a and model b, in that order.